Record 1
Material: WS2Cl2
Method: DFT, GGA-PBE
State: relaxed

Geometry as CIF:
```
data_WS2Cl2
_chemical_formula_sum 'W2 S4 Cl4'
_space_group_name_H-M_alt 'P m c 21'
_space_group_IT_number 26
_cell_length_a 7.7298
_cell_length_b 4.7026
_cell_length_c 11.1690
_cell_angle_alpha 90.00
_cell_angle_beta 90.00
_cell_angle_gamma 90.00
loop_
_space_group_symop_operation_xyz
'x,y,z'
'-x,-y,z+1/2'
'-x,y,z'
'x,-y,z+1/2'
loop_
_atom_site_label
_atom_site_fract_x
_atom_site_fract_y
_atom_site_fract_z
W1 0.0000 0.0608 0.0000
S1 0.0000 0.0638 0.1890
S2 0.0000 0.4987 0.9412
Cl1 0.2813 0.0402 0.4476
```

Its total energy is -5.513 eV/atom. For the total magnetic moment, the calculation gives 0.0 μB per cell. The value obtained for the density is 2.608 Mg/m³.


Record 2
Material: CdPt
Method: DFT, GGA-PBE
State: relaxed

Geometry as CIF:
```
data_CdPt
_chemical_formula_sum 'Cd4 Pt4'
_space_group_name_H-M_alt 'F -4 3 m'
_space_group_IT_number 216
_space_group_name_Hall 'F -4 2 3'
_cell_length_a 6.0943
_cell_length_b 6.0943
_cell_length_c 6.0943
_cell_angle_alpha 90.00
_cell_angle_beta 90.00
_cell_angle_gamma 90.00
loop_
_atom_site_label
_atom_site_fract_x
_atom_site_fract_y
_atom_site_fract_z
Cd1 0.0000 0.0000 0.0000
Pt1 0.2500 0.2500 0.7500
```

The value obtained for the formation energy is 573 meV per atom. For the total magnetic moment, the calculation gives 0.0 μB per cell. The value obtained for the density is 9.023 Mg/m³.


Record 3
Material: NaGeAu3Se4
Method: DFT, GGA-PBE
State: relaxed

Geometry as CIF:
```
data_NaGeAu3Se4
_chemical_formula_sum 'Na1 Ge1 Au3 Se4'
_space_group_name_H-M_alt 'P -4 3 m'
_space_group_IT_number 215
_space_group_name_Hall 'P -4 2 3'
_cell_length_a 6.2912
_cell_length_b 6.2912
_cell_length_c 6.2912
_cell_angle_alpha 90.00
_cell_angle_beta 90.00
_cell_angle_gamma 90.00
loop_
_atom_site_label
_atom_site_fract_x
_atom_site_fract_y
_atom_site_fract_z
Na1 0.0000 0.0000 0.0000
Ge1 0.5000 0.5000 0.5000
Au1 0.0000 0.5000 0.5000
Se1 0.2626 0.2626 0.2626
```

Its total energy is -3.344 eV/atom. The value obtained for the density is 6.685 Mg/m³.